This record from the Alexandria database describes a relaxed CaLuHgSb crystal. The functional is GGA-PBE.

a b c (Å): 5.3177 5.3177 5.3177
angles (deg): 60.00 60.00 60.00
With the nearest neighbours (Å) after each atom.
Atoms (fractional coordinates):
Ca (0.0000, 0.0000, 0.0000)  4 Hg 3.26, 4 Sb 3.26
Lu (0.5000, 0.5000, 0.5000)  4 Hg 3.26, 4 Sb 3.26
Hg (0.2500, 0.2500, 0.2500)  4 Ca 3.26, 4 Lu 3.26
Sb (0.7500, 0.7500, 0.7500)  4 Ca 3.26, 4 Lu 3.26

Calculated values
The calculated total energy is -13.18 eV/f.u. Its density of states at the Fermi level is 5.5 states/eV/cell.

This record from the Alexandria database describes a relaxed CaLuSnHg crystal. The functional is GGA-PBE.

a b c (Å): 5.2925 5.2925 5.2925
angles (deg): 60.00 60.00 60.00
With the nearest neighbours (Å) after each atom.
Atoms (fractional coordinates):
Ca (0.0000, 0.0000, 0.0000)  4 Sn 3.24, 4 Hg 3.24
Lu (0.5000, 0.5000, 0.5000)  4 Sn 3.24, 4 Hg 3.24
Sn (0.7500, 0.7500, 0.7500)  4 Ca 3.24, 4 Lu 3.24
Hg (0.2500, 0.2500, 0.2500)  4 Lu 3.24, 4 Ca 3.24

Calculated values
The calculated total energy is -12.96 eV/f.u. As for the energy relative to the elements: -0.5343 eV per atom. Its density of states at the Fermi level is 3.0 states/eV/cell.

This record from the Alexandria database describes a relaxed CaLuTlHg crystal. The functional is GGA-PBE.

a b c (Å): 5.3085 5.3085 5.3085
angles (deg): 60.00 60.00 60.00
With the nearest neighbours (Å) after each atom.
Atoms (fractional coordinates):
Ca (0.0000, 0.0000, 0.0000)  4 Tl 3.25, 4 Hg 3.25
Lu (0.5000, 0.5000, 0.5000)  4 Tl 3.25, 4 Hg 3.25
Tl (0.7500, 0.7500, 0.7500)  4 Ca 3.25, 4 Lu 3.25
Hg (0.2500, 0.2500, 0.2500)  4 Lu 3.25, 4 Ca 3.25

Calculated values
The calculated total energy is -10.90 eV/f.u. As for the energy relative to the elements: -0.4280 eV per atom. Its density of states at the Fermi level is 2.1 states/eV/cell.

This record from the Alexandria database describes a relaxed CaMgHg2 crystal. The functional is GGA-PBE.

a b c (Å): 5.1119 5.1119 5.1119
angles (deg): 60.00 60.00 60.00
With the nearest neighbours (Å) after each atom.
Atoms (fractional coordinates):
Ca (0.0000, 0.0000, 0.0000)  4 Hg 3.13, 4 Mg 3.13
Mg (0.2500, 0.2500, 0.2500)  4 Hg 3.13, 4 Ca 3.13
Hg (0.5000, 0.5000, 0.5000)  4 Mg 3.13, 4 Hg 3.13
Hg (0.7500, 0.7500, 0.7500)  4 Hg 3.13, 4 Ca 3.13

Calculated values
The calculated total energy is -5.20 eV/f.u. As for the energy relative to the elements: -0.2496 eV per atom. Its density of states at the Fermi level is 1.9 states/eV/cell.

This record from the Alexandria database describes a relaxed CaMgHg2 crystal. The functional is GGA-PBE.

a b c (Å): 8.2482 8.2482 8.2482
angles (deg): 28.09 28.09 28.09
With the nearest neighbours (Å) after each atom.
Atoms (fractional coordinates):
Ca (0.0000, 0.0000, 0.0000)  6 Hg 3.16-3.17
Mg (0.1681, 0.1681, 0.1681)  6 Hg 2.91-2.94
Hg (0.4248, 0.4248, 0.4248)  3 Mg 2.94, 3 Ca 3.17
Hg (0.5760, 0.5760, 0.5760)  3 Mg 2.91, 3 Ca 3.16

Calculated values
The calculated total energy is -5.32 eV/f.u. As for the energy relative to the elements: -0.2796 eV per atom. Its density of states at the Fermi level is 1.7 states/eV/cell.

This record from the Alexandria database describes a relaxed CaMg2Hg8 crystal. The functional is GGA-PBE.

a b c (Å): 8.5845 8.5845 5.4830
angles (deg): 96.06 96.06 42.95
With the nearest neighbours (Å) after each atom.
Atoms (fractional coordinates):
Ca (0.0000, 0.0000, 0.0000)  14 Hg 3.27-3.50
Mg (0.2582, 0.2582, 0.6267)  7 Hg 2.84-3.05
Mg (0.7418, 0.7418, 0.3733)  7 Hg 2.84-3.05
Hg (0.1512, 0.6587, 0.4672)  5 Hg 3.02-3.26, 2 Mg 3.03-3.05
Hg (0.2056, 0.2056, 0.1045)  2 Mg 2.84-2.89
Hg (0.3413, 0.8488, 0.5328)  5 Hg 3.02-3.26, 2 Mg 3.03-3.05
Hg (0.4057, 0.4057, 0.9862)  1 Mg 2.90, 3 Hg 3.00-3.08
Hg (0.5943, 0.5943, 0.0138)  1 Mg 2.90, 3 Hg 3.00-3.08
Hg (0.6587, 0.1512, 0.4672)  5 Hg 3.02-3.26, 2 Mg 3.03-3.05
Hg (0.7944, 0.7944, 0.8955)  2 Mg 2.84-2.89
Hg (0.8488, 0.3413, 0.5328)  5 Hg 3.02-3.26, 2 Mg 3.03-3.05

Calculated values
The calculated total energy is -9.58 eV/f.u. The value obtained for the offset from the most stable computed form is 0 kJ/mol of formula units. As for the energy relative to the elements: -0.1791 eV per atom. Its density of states at the Fermi level is 3.6 states/eV/cell.

This record from the Alexandria database describes a relaxed Ca2MgHg6 crystal. The functional is GGA-PBE.

a b c (Å): 6.5078 6.5078 6.2952
angles (deg): 90.00 90.00 120.00
With the nearest neighbours (Å) after each atom.
Atoms (fractional coordinates):
Ca (0.3333, 0.6667, 0.1573)  12 Hg 3.40-3.76
Ca (0.6667, 0.3333, 0.8427)  12 Hg 3.40-3.76
Mg (0.0000, 0.0000, 0.0000)  6 Hg 2.82
Hg (0.1773, 0.3545, 0.6846)  1 Mg 2.82, 4 Hg 3.05-3.06
Hg (0.1773, 0.8227, 0.6846)  1 Mg 2.82, 4 Hg 3.05-3.06
Hg (0.3545, 0.1773, 0.3154)  1 Mg 2.82, 4 Hg 3.05-3.06
Hg (0.6455, 0.8227, 0.6846)  1 Mg 2.82, 4 Hg 3.05-3.06
Hg (0.8227, 0.1773, 0.3154)  1 Mg 2.82, 4 Hg 3.05-3.06
Hg (0.8227, 0.6455, 0.3154)  1 Mg 2.82, 4 Hg 3.05-3.06

Calculated values
The calculated total energy is -10.30 eV/f.u. The value obtained for the offset from the most stable computed form is 0 kJ/mol of formula units. As for the energy relative to the elements: -0.3216 eV per atom. Its density of states at the Fermi level is 4.6 states/eV/cell.

This record from the Alexandria database describes a relaxed CaMg3Hg9 crystal. The functional is GGA-PBE.

a b c (Å): 7.8198 7.8198 7.5521
angles (deg): 99.18 99.18 132.47
With the nearest neighbours (Å) after each atom.
Atoms (fractional coordinates):
Ca (0.0000, 0.0000, 0.0000)  8 Hg 3.34-3.66
Mg (0.0000, 0.0000, 0.5000)  10 Hg 2.91-3.15
Mg (0.0000, 0.5000, 0.0000)  8 Hg 2.86-3.07, 2 Mg 3.15
Mg (0.5000, 0.0000, 0.0000)  8 Hg 2.86-3.07, 2 Mg 3.15
Hg (0.0060, 0.6654, 0.6711)  3 Mg 2.97-3.12, 5 Hg 3.15-3.29
Hg (0.2577, 0.4763, 0.7851)  3 Mg 2.86-3.07, 3 Hg 3.01-3.13
Hg (0.3346, 0.9940, 0.3289)  3 Mg 2.97-3.12, 5 Hg 3.15-3.29
Hg (0.4763, 0.2577, 0.7851)  3 Mg 2.86-3.07, 3 Hg 3.01-3.13
Hg (0.5000, 0.5000, 0.5000)  8 Hg 3.04-3.15, 2 Mg 3.15
Hg (0.5237, 0.7423, 0.2149)  3 Mg 2.86-3.07, 3 Hg 3.01-3.13
Hg (0.6654, 0.0060, 0.6711)  3 Mg 2.97-3.12, 5 Hg 3.15-3.29
Hg (0.7423, 0.5237, 0.2149)  3 Mg 2.86-3.07, 3 Hg 3.01-3.13
Hg (0.9940, 0.3346, 0.3289)  3 Mg 2.97-3.12, 5 Hg 3.15-3.29

Calculated values
The calculated total energy is -11.75 eV/f.u. As for the energy relative to the elements: -0.1730 eV per atom. Its density of states at the Fermi level is 6.3 states/eV/cell.